[1]
! Pr4HoAs5 | Alexandria | PBE-GGA | optimized geometry; values from VASP
! ΔH_f (0 K), eV/atom: -1.49
! Total moment, μB/f.u.: 0.00
&SYSTEM
  ibrav = 0, nat = 10, ntyp = 3
/
ATOMIC_SPECIES
Pr 140.91 Pr.upf
Ho 164.93 Ho.upf
As 74.92 As.upf
CELL_PARAMETERS angstrom
-4.772 4.772 3.021
4.772 -4.772 3.021
4.772 4.772 -3.021
ATOMIC_POSITIONS angstrom
Pr 6.683 0.938 0.000
Pr 0.938 2.861 0.000
Pr 3.834 1.911 3.021
Pr -1.911 3.834 3.021
Ho 0.000 0.000 3.021
As 0.000 0.000 0.000
As 3.837 1.969 0.000
As 2.803 -0.935 3.021
As 1.969 5.707 0.000
As 0.935 2.803 3.021

***

[2]
! PrHoAs | Alexandria | PBE-GGA | optimized geometry; values from VASP
! ΔH_f (0 K), eV/atom: -0.83
! Total moment, μB/f.u.: 1.04
&SYSTEM
  ibrav = 0, nat = 3, ntyp = 3
/
ATOMIC_SPECIES
Pr 140.91 Pr.upf
Ho 164.93 Ho.upf
As 74.92 As.upf
CELL_PARAMETERS angstrom
4.038 0.000 0.000
-2.019 3.497 0.000
0.000 0.000 6.653
ATOMIC_POSITIONS angstrom
Pr 0.000 0.000 0.000
Ho 2.019 1.166 3.212
As 0.000 2.331 4.825

***

[3]
! Pr3HoAs4 | Alexandria | PBE-GGA | optimized geometry; values from VASP
! Energy relative to the lowest polymorph listed for this composition, meV per atom: 7
! ΔH_f (0 K), eV/atom: -1.49
! Total moment, μB/f.u.: 0.00
&SYSTEM
  ibrav = 0, nat = 8, ntyp = 3
/
ATOMIC_SPECIES
Pr 140.91 Pr.upf
Ho 164.93 Ho.upf
As 74.92 As.upf
CELL_PARAMETERS angstrom
6.023 0.000 0.000
0.000 6.023 0.000
0.000 0.000 6.023
ATOMIC_POSITIONS angstrom
Pr 0.000 0.000 3.012
Pr 0.000 3.012 0.000
Pr 3.012 0.000 0.000
Ho 3.012 3.012 3.012
As 0.000 0.000 0.000
As 0.000 3.012 3.012
As 3.012 0.000 3.012
As 3.012 3.012 0.000

***

[4]
! Pr5Ho3As8 | Alexandria | PBE-GGA | optimized geometry; values from VASP
! ΔH_f (0 K), eV/atom: -1.50
! Total moment, μB/f.u.: 0.00
&SYSTEM
  ibrav = 0, nat = 16, ntyp = 3
/
ATOMIC_SPECIES
Pr 140.91 Pr.upf
Ho 164.93 Ho.upf
As 74.92 As.upf
CELL_PARAMETERS angstrom
4.233 2.444 6.908
-4.233 2.444 6.908
0.000 -4.888 6.908
ATOMIC_POSITIONS angstrom
Pr 0.000 0.000 0.000
Pr -2.116 -1.222 6.908
Pr -2.116 1.222 13.817
Pr 0.000 2.444 6.908
Pr 0.000 0.000 10.363
Ho -4.233 0.000 10.363
Ho -2.116 1.222 3.454
Ho 2.116 1.222 3.454
As -2.152 -1.243 12.031
As 0.000 0.000 5.095
As 0.000 -2.485 8.694
As -2.152 1.243 8.694
As 2.152 -1.243 12.031
As 0.000 2.485 12.031
As 0.000 0.000 15.630
As 2.152 1.243 8.694

***

[5]
! PrHoAs | Alexandria | PBE-GGA | optimized geometry; values from VASP
! ΔH_f (0 K), eV/atom: -0.93
! Total moment, μB/f.u.: 0.00
&SYSTEM
  ibrav = 0, nat = 6, ntyp = 3
/
ATOMIC_SPECIES
Pr 140.91 Pr.upf
Ho 164.93 Ho.upf
As 74.92 As.upf
CELL_PARAMETERS angstrom
4.366 0.000 0.000
0.000 4.366 0.000
0.000 0.000 8.403
ATOMIC_POSITIONS angstrom
Pr 1.091 1.091 1.209
Pr 3.274 3.274 7.194
Ho 1.091 3.274 4.201
Ho 3.274 1.091 4.201
As 1.091 1.091 6.447
As 3.274 3.274 1.955

***

[6]
! PrHo5As6 | Alexandria | PBE-GGA | optimized geometry; values from VASP
! ΔH_f (0 K), eV/atom: -1.51
! Total moment, μB/f.u.: 0.00
&SYSTEM
  ibrav = 0, nat = 12, ntyp = 3
/
ATOMIC_SPECIES
Pr 140.91 Pr.upf
Ho 164.93 Ho.upf
As 74.92 As.upf
CELL_PARAMETERS angstrom
3.583 -6.204 0.000
3.583 6.204 0.000
-2.388 0.000 6.754
ATOMIC_POSITIONS angstrom
Pr 0.000 0.000 0.000
Ho 2.389 4.157 3.377
Ho 3.583 2.074 0.000
Ho 2.389 0.000 3.377
Ho 3.583 -2.074 0.000
Ho 2.389 -4.157 3.377
As 1.219 2.110 1.719
As 0.050 0.000 5.042
As 1.219 -2.110 1.719
As 3.558 2.110 5.035
As 4.727 0.000 1.712
As 3.558 -2.110 5.035

***

[7]
! Pr3HoAs4 | Alexandria | PBE-GGA | optimized geometry; values from VASP
! Energy relative to the lowest polymorph listed for this composition, meV per atom: 0
! ΔH_f (0 K), eV/atom: -1.50
! Total moment, μB/f.u.: 0.00
&SYSTEM
  ibrav = 0, nat = 16, ntyp = 3
/
ATOMIC_SPECIES
Pr 140.91 Pr.upf
Ho 164.93 Ho.upf
As 74.92 As.upf
CELL_PARAMETERS angstrom
8.513 0.000 0.000
0.000 12.039 0.000
0.000 0.000 4.262
ATOMIC_POSITIONS angstrom
Pr 0.000 0.000 0.000
Pr 2.128 3.010 2.131
Pr 2.128 9.029 2.131
Pr 4.256 6.020 0.000
Pr 6.385 3.010 2.131
Pr 6.385 9.029 2.131
Ho 0.000 6.020 0.000
Ho 4.256 0.000 0.000
As 0.000 3.061 0.000
As 0.000 8.978 0.000
As 2.058 6.020 2.131
As 2.199 0.000 2.131
As 4.256 2.958 0.000
As 4.256 9.081 0.000
As 6.314 0.000 2.131
As 6.455 6.020 2.131

***

[8]
! PrHoPu2As4 | Alexandria | PBE-GGA | optimized geometry; values from VASP
! ΔH_f (0 K), eV/atom: -1.26
! Total moment, μB/f.u.: 9.90
&SYSTEM
  ibrav = 0, nat = 8, ntyp = 4
/
ATOMIC_SPECIES
Pr 140.91 Pr.upf
Ho 164.93 Ho.upf
Pu 244.00 Pu.upf
As 74.92 As.upf
CELL_PARAMETERS angstrom
7.197 0.000 0.000
0.000 4.178 0.000
-2.423 0.000 6.816
ATOMIC_POSITIONS angstrom
Pr 0.000 0.000 0.000
Ho -1.211 2.089 3.408
Pu 2.387 0.000 3.408
Pu 3.599 2.089 0.000
As 0.033 0.000 5.081
As 1.244 2.089 1.772
As 3.531 2.089 5.044
As 4.742 0.000 1.735

***

[9]
! Pr2Ho3PuAs6 | Alexandria | PBE-GGA | optimized geometry; values from VASP
! ΔH_f (0 K), eV/atom: -1.42
! Total moment, μB/f.u.: 4.87
&SYSTEM
  ibrav = 0, nat = 12, ntyp = 4
/
ATOMIC_SPECIES
Pr 140.91 Pr.upf
Ho 164.93 Ho.upf
Pu 244.00 Pu.upf
As 74.92 As.upf
CELL_PARAMETERS angstrom
9.091 -2.091 0.000
9.091 2.091 0.000
-1.904 0.000 8.128
ATOMIC_POSITIONS angstrom
Pr 2.389 0.000 2.714
Pr 13.889 0.000 5.414
Ho 1.463 0.000 6.778
Ho 8.139 0.000 4.064
Ho 14.815 0.000 1.351
Pu 9.091 0.000 0.000
As -1.373 0.000 6.119
As 4.307 0.000 7.523
As 5.334 0.000 3.324
As 10.944 0.000 4.805
As 11.971 0.000 0.606
As 17.651 0.000 2.009

***

[10]
! Pr2HoAs3Rh4 | Alexandria | PBE-GGA | optimized geometry; values from VASP
! ΔH_f (0 K), eV/atom: -0.96
! Total moment, μB/f.u.: 0.00
&SYSTEM
  ibrav = 0, nat = 10, ntyp = 4
/
ATOMIC_SPECIES
Pr 140.91 Pr.upf
Ho 164.93 Ho.upf
As 74.92 As.upf
Rh 102.91 Rh.upf
CELL_PARAMETERS angstrom
4.153 0.000 0.000
0.000 4.153 0.000
0.000 0.000 11.415
ATOMIC_POSITIONS angstrom
Pr 0.000 2.077 2.585
Pr 2.077 0.000 8.830
Ho 0.000 0.000 5.707
As 0.000 2.077 9.959
As 2.077 0.000 1.456
As 2.077 2.077 5.707
Rh 0.000 0.000 0.000
Rh 0.000 2.077 7.513
Rh 2.077 0.000 3.902
Rh 2.077 2.077 0.000

***

[11]
! PrHoAs2Rh5 | Alexandria | PBE-GGA | optimized geometry; values from VASP
! ΔH_f (0 K), eV/atom: -0.72
! Total moment, μB/f.u.: 0.00
&SYSTEM
  ibrav = 0, nat = 9, ntyp = 4
/
ATOMIC_SPECIES
Pr 140.91 Pr.upf
Ho 164.93 Ho.upf
As 74.92 As.upf
Rh 102.91 Rh.upf
CELL_PARAMETERS angstrom
4.281 0.000 0.000
0.000 4.281 0.000
0.000 0.000 8.845
ATOMIC_POSITIONS angstrom
Pr 0.000 0.000 0.000
Ho 0.000 0.000 4.423
As 2.141 2.141 3.137
As 2.141 2.141 5.708
Rh 0.000 2.141 2.119
Rh 0.000 2.141 6.726
Rh 2.141 0.000 2.119
Rh 2.141 0.000 6.726
Rh 2.141 2.141 0.000

***

[12]
! Pr2HoAs4Rh3 | Alexandria | PBE-GGA | optimized geometry; values from VASP
! ΔH_f (0 K), eV/atom: -0.98
! Total moment, μB/f.u.: 0.00
&SYSTEM
  ibrav = 0, nat = 10, ntyp = 4
/
ATOMIC_SPECIES
Pr 140.91 Pr.upf
Ho 164.93 Ho.upf
As 74.92 As.upf
Rh 102.91 Rh.upf
CELL_PARAMETERS angstrom
4.348 0.000 0.000
0.000 4.348 0.000
0.000 0.000 10.863
ATOMIC_POSITIONS angstrom
Pr 0.000 2.174 2.416
Pr 2.174 0.000 8.447
Ho 0.000 0.000 5.432
As 0.000 0.000 0.000
As 0.000 2.174 7.184
As 2.174 0.000 3.680
As 2.174 2.174 0.000
Rh 0.000 2.174 9.675
Rh 2.174 0.000 1.188
Rh 2.174 2.174 5.432

***

no.,E_tot (eV per cell)
1,-61.89
2,-16.50
3,-49.42
4,-98.79
5,-33.58
6,-73.73
7,-98.95
8,-66.66
9,-82.52
10,-67.14
11,-61.92
12,-64.56